1.
Density functional theory data (PBE-GGA) for a relaxed structure of LiDy2ScS4.

Summary:
uncorrected formation energy = -1900 meV/atom
space-group type = P2/m (10)
raw total energy = -6.145 eV/atom

The structure in extended XYZ format:
```
8
Lattice="3.8178 0.0000 0.0000 0.0000 6.6441 0.1304 0.0000 -2.3075 6.1199" Properties=species:S:1:pos:R:3 pbc="T T T"
Sc 0.0000 0.0000 0.0000
S 0.0000 4.4142 1.5438
S 0.0000 -0.0776 4.7065
S 1.9089 1.0933 1.4666
S 1.9089 3.2433 4.7837
Li 1.9089 3.3221 0.0652
Dy 0.0000 2.1683 3.1252
Dy 1.9089 -1.1538 3.0599
```

=====

2.
Density functional theory data (PBE-GGA) for a relaxed structure of LiDy2ScS5.

Summary:
uncorrected formation energy = -1853 meV/atom
space-group type = Cmc2_1 (36)
raw total energy = -6.084 eV/atom

The structure in extended XYZ format:
```
18
Lattice="-1.0828 2.6723 2.5139 -5.4983 0.6988 -6.0216 -6.7752 -7.7220 5.2902" Properties=species:S:1:pos:R:3 pbc="T T T"
Dy -6.5540 1.5102 -1.5179
Dy -5.9228 -4.8586 2.6136
Dy -3.5559 -1.7601 0.3394
Dy -10.4195 -3.2962 1.9264
S -1.1061 -0.3291 -0.1266
S -8.6371 -4.4534 3.9243
S -11.1372 -6.2471 1.8436
S -4.2536 0.9875 0.0286
S -9.8131 -1.2440 0.0062
S -2.4636 -0.8199 2.7210
S -11.3025 -3.9979 -0.6185
S -7.8814 -3.9463 0.8002
S -5.5997 -1.9567 2.5786
S -6.0922 -1.4622 -1.0697
Sc -2.4267 0.7633 -1.8566
Sc -7.6157 -1.3371 1.0515
Li -9.0519 -1.7196 -2.0709
Li -7.3767 -6.1328 6.2523
```

=====

3.
Density functional theory data (PBE-GGA) for a relaxed structure of LiDy6Se3S2.

Summary:
uncorrected formation energy = -1468 meV/atom
space-group type = C2/m (12)
raw total energy = -5.488 eV/atom

The structure in extended XYZ format:
```
12
Lattice="3.9635 0.0000 0.0000 0.0000 8.1968 0.3024 -1.9818 -2.3523 8.4728" Properties=species:S:1:pos:R:3 pbc="T T T"
Dy 1.9818 3.7623 8.6008
Dy 0.0000 5.8101 5.8736
Dy 0.0000 1.9555 5.7160
Dy 1.9818 0.0344 2.9017
Dy 0.0000 2.0822 0.1744
Dy 1.9818 3.8890 3.0593
Se 1.9818 4.0984 0.1512
Se 1.9818 -0.2066 5.7178
Se 0.0000 6.0511 3.0574
Li 1.9818 0.0000 0.0000
S 1.9818 3.8676 5.8066
S 0.0000 1.9769 2.9686
```

=====

4.
Density functional theory data (PBE-GGA) for a relaxed structure of LiDySi2S6.

Summary:
uncorrected formation energy = -1063 meV/atom
space-group type = C2/c (15)
raw total energy = -5.276 eV/atom

The structure in extended XYZ format:
```
20
Lattice="-0.7251 -5.0926 -3.6834 0.8053 -6.1186 5.7749 -8.3477 -1.1333 0.6841" Properties=species:S:1:pos:R:3 pbc="T T T"
Li -5.8361 -3.8731 1.2610
Li -2.4313 -8.4714 1.5146
Dy -0.4518 -6.8058 4.2556
Dy -7.8156 -5.5387 -1.4801
S -2.9325 -7.7078 3.8561
S -2.2680 -4.6730 -2.7342
S -3.3747 -2.6067 1.7299
S -2.5010 -5.8264 0.5758
S -5.3350 -4.6368 -1.0805
S -0.7253 -4.4038 3.1234
S -7.5421 -7.9408 -0.3478
S -0.3569 -2.9701 -0.0312
S -5.9994 -7.6715 5.5097
S -4.8927 -9.7378 1.0457
S -7.9105 -9.3744 2.8067
S -5.7665 -6.5181 2.1998
Si -4.7319 -6.6559 4.1089
Si -3.5356 -5.6887 -1.3334
Si -6.5623 -8.4027 1.4508
Si -1.7051 -3.9419 1.3247
```